Here is a relaxed Y2MnSi4Ir3 crystal from Alexandria. Energies are from PBE.

Geometry as CIF:
```
data_Y2MnSi4Ir3
_chemical_formula_sum 'Y2 Mn1 Si4 Ir3'
_cell_length_a 4.074
_cell_length_b 4.074
_cell_length_c 10.108
_cell_angle_alpha 90.00
_cell_angle_beta 90.00
_cell_angle_gamma 90.00
_symmetry_space_group_name_H-M 'P 1'
_symmetry_Int_Tables_number 1
loop_
_symmetry_equiv_pos_as_xyz
'x,y,z'
loop_
_atom_site_label
_atom_site_type_symbol
_atom_site_fract_x
_atom_site_fract_y
_atom_site_fract_z
_atom_site_occupancy
Ir1 Ir 0.000 0.500 0.128 1
Ir2 Ir 0.500 0.000 0.872 1
Ir3 Ir 0.000 0.000 0.500 1
Y1 Y 0.500 0.000 0.248 1
Y2 Y 0.000 0.500 0.752 1
Si1 Si 0.500 0.500 0.000 1
Si2 Si 0.500 0.000 0.634 1
Si3 Si 0.000 0.000 0.000 1
Si4 Si 0.000 0.500 0.366 1
Mn1 Mn 0.500 0.500 0.500 1
```

Summary:
* DFT total energy: -79.57 eV/cell
* ΔE_f (raw): -0.9193 eV per atom
* magnetization: 0.242 μB per atom